Density functional theory data (PBE) for an optimized crystal structure of InTcW2.

Unit cell a=9.511 b=9.511 c=9.511 alpha=17.45 beta=17.45 gamma=17.45
Sites, in units of the cell vectors:
In 0.250 0.250 0.250
Tc 0.750 0.750 0.750
W 0.495 0.495 0.495
W 0.005 0.005 0.005

Computed properties:
ρ: 14.271 g/cm³
formation energy: 422 meV/atom
E_tot: -9.331 eV per atom